# KMgIr3 | Alexandria | PBE | relaxed
data_KMgIr3
_chemical_formula_sum 'K1 Mg1 Ir3'
_cell_length_a 4.7231
_cell_length_b 4.7231
_cell_length_c 4.7231
_cell_angle_alpha 90.00
_cell_angle_beta 90.00
_cell_angle_gamma 90.00
_space_group_name_H-M_alt 'P 1'
_space_group_IT_number 1
_space_group_name_Hall 'P 1'
loop_
_atom_site_label
_atom_site_type_symbol
_atom_site_fract_x
_atom_site_fract_y
_atom_site_fract_z
K1 K 0.0000 0.0000 0.0000
Mg1 Mg 0.5000 0.5000 0.5000
Ir1 Ir 0.0000 0.5000 0.5000
Ir2 Ir 0.5000 0.0000 0.5000
Ir3 Ir 0.5000 0.5000 0.0000
# ΔE to the lowest computed polymorph: 0.000 eV per atom
# Crystal system: cubic
# DFT total energy: -4.2977 eV per atom
# Calculated formation energy: 1557 meV/atom
# Calculated density: 10.1 Mg/m³